Entry from the Alexandria database: TaBeTc4 at its PBEsol-relaxed geometry (SCAN).

The calculation puts the formation energy at 130 meV/atom. As for the density: 10.83 g/cm3.

The space group is F-43m (No. 216) and the conventional cell measures 7.093, 7.093 and 7.093 Å, with angles of 90.00, 90.00 and 90.00 degrees. The inequivalent atoms are Ta at (0.000, 0.000, 0.000), Be at (0.250, 0.250, 0.750) and Tc at (0.124, 0.124, 0.376).

Entry from the Alexandria database: TaBeTc2 at its PBEsol-relaxed geometry (SCAN).

The calculation puts the formation energy at -76 meV/atom. As for the density: 11.58 g/cm3.

The space group is Pm (No. 6) and the conventional cell measures 2.762, 4.199 and 4.876 Å, with angles of 90.00, 101.87 and 90.00 degrees. The inequivalent atoms are Ta at (0.000, 0.000, 0.000), Be at (0.428, 0.500, 0.791), Tc at (0.456, 0.000, 0.512) and Tc at (0.798, 0.500, 0.312).